# 1
! Mn2CrOs (PBE-GGA, relaxed); values from VASP
&SYSTEM
  ibrav = 0, nat = 4, ntyp = 3
/
ATOMIC_SPECIES
Mn 54.94 Mn.upf
Cr 52.00 Cr.upf
Os 190.23 Os.upf
ATOMIC_POSITIONS crystal
Mn 0.0000 0.0000 0.0000
Mn 0.5000 0.0000 0.5000
Cr 0.0000 0.5000 0.5000
Os 0.5000 0.5000 0.0000
CELL_PARAMETERS angstrom
3.0765 0.0000 0.0000
0.0000 4.0275 0.0000
0.0000 0.0000 4.0421
! **Volume**: 12.52 Å³ per atom
! **D(E_F)**: 0.9858 states/eV/atom
! **Formation enthalpy at 0 K**: 0.444 eV per formula unit
! **Space-group type**: Pmmm (47)


# 2
! Mn2CrOs (PBE-GGA, relaxed); values from VASP
&SYSTEM
  ibrav = 0, nat = 4, ntyp = 3
/
ATOMIC_SPECIES
Mn 54.94 Mn.upf
Cr 52.00 Cr.upf
Os 190.23 Os.upf
ATOMIC_POSITIONS crystal
Mn 0.0000 0.0000 0.0000
Mn 0.5000 0.5000 0.2390
Cr 0.0000 0.0000 0.4737
Os 0.5000 0.5000 0.7350
CELL_PARAMETERS angstrom
1.4846 -2.1188 0.0000
1.4846 2.1188 0.0000
0.0000 0.0000 8.0181
! **Volume**: 12.61 Å³ per atom
! **D(E_F)**: 1.1329 states/eV/atom
! **Formation enthalpy at 0 K**: 0.863 eV per formula unit
! **Space-group type**: Cmm2 (35)


# 3
! MnCr2Os (PBE-GGA, relaxed); values from VASP
&SYSTEM
  ibrav = 0, nat = 4, ntyp = 3
/
ATOMIC_SPECIES
Mn 54.94 Mn.upf
Cr 52.00 Cr.upf
Os 190.23 Os.upf
ATOMIC_POSITIONS crystal
Mn 0.0000 0.0000 0.0000
Cr 0.2503 0.5000 0.7604
Cr 0.7497 0.5000 0.2396
Os 0.5000 0.0000 0.5000
CELL_PARAMETERS angstrom
2.5572 0.0000 0.0000
0.0000 4.1037 0.0000
-0.8813 0.0000 4.7680
! **Volume**: 12.51 Å³ per atom
! **D(E_F)**: 1.3287 states/eV/atom
! **Formation enthalpy at 0 K**: 0.605 eV per formula unit
! **Space-group type**: P2/m (10)


# 4
! Mn2Cr2Os (PBE-GGA, relaxed); values from VASP
&SYSTEM
  ibrav = 0, nat = 10, ntyp = 3
/
ATOMIC_SPECIES
Mn 54.94 Mn.upf
Cr 52.00 Cr.upf
Os 190.23 Os.upf
ATOMIC_POSITIONS crystal
Mn 0.1335 0.3665 0.0000
Mn 0.3665 0.8665 0.0000
Mn 0.6335 0.1335 0.0000
Mn 0.8665 0.6335 0.0000
Cr 0.1680 0.6680 0.5000
Cr 0.3320 0.1680 0.5000
Cr 0.6680 0.8320 0.5000
Cr 0.8320 0.3320 0.5000
Os 0.0000 0.0000 0.0000
Os 0.5000 0.5000 0.0000
CELL_PARAMETERS angstrom
6.6747 0.0000 0.0000
0.0000 6.6747 0.0000
0.0000 0.0000 2.7006
! **Volume**: 12.03 Å³ per atom
! **D(E_F)**: 1.4304 states/eV/atom
! **Formation enthalpy at 0 K**: 1.092 eV per formula unit
! **Space-group type**: P4/mbm (127)